NbReBi2Mo: optimized geometry, GGA-PBE.

Space group ... P4/mmm (123)
Energy of formation ... 1834 meV per atom
E_tot ... -6.3879 eV/atom
V ... 28.42 Å³ per atom

Cell lengths 5.4257, 5.4257, 4.8270 Å; angles 90.00, 90.00, 90.00 degrees
Positions (direct):
1 Nb 0.0000 0.0000 0.0000
2 Re 0.0000 0.0000 0.5000
3 Bi 0.0000 0.5000 0.0000
4 Bi 0.5000 0.0000 0.0000
5 Mo 0.5000 0.5000 0.5000



Nb2BiMoSe: optimized geometry, GGA-PBE.

Space group ... P4/mmm (123)
E_form (uncorrected) ... 0.8941 eV per atom
E_tot ... -6.7731 eV/atom
V ... 23.83 Å³ per atom

Cell lengths 5.0609, 5.0609, 4.6517 Å; angles 90.00, 90.00, 90.00 degrees
Positions (direct):
1 Nb 0.0000 0.5000 0.0000
2 Nb 0.5000 0.0000 0.0000
3 Bi 0.0000 0.0000 0.5000
4 Mo 0.5000 0.5000 0.0000
5 Se 0.5000 0.5000 0.5000



Question: Look up the V of the first one.
Answer: 28.42 Å³ per atom